P | # NaAlSe2Br GGA-PBE optimized geometry
data_NaAlSe2Br
_cell_length_a 4.8521
_cell_length_b 4.8521
_cell_length_c 5.6243
_cell_angle_alpha 90.00
_cell_angle_beta 90.00
_cell_angle_gamma 90.00
_symmetry_space_group_name_H-M 'P 1'
_symmetry_Int_Tables_number 1
loop_
_symmetry_equiv_pos_as_xyz
'x,y,z'
loop_
_atom_site_label
_atom_site_type_symbol
_atom_site_fract_x
_atom_site_fract_y
_atom_site_fract_z
Na1 Na 0.0000 0.0000 0.0000
Al1 Al 0.5000 0.5000 0.5000
Se1 Se 0.0000 0.5000 0.5000
Se2 Se 0.5000 0.0000 0.5000
Br1 Br 0.5000 0.5000 0.0000
# - Fermi-level density of states: 3.34 states/eV/f.u.


Q | # NaAlSe2Br GGA-PBE optimized geometry
data_NaAlSe2Br
_cell_length_a 5.4176
_cell_length_b 5.4176
_cell_length_c 5.4306
_cell_angle_alpha 90.00
_cell_angle_beta 90.00
_cell_angle_gamma 90.00
_symmetry_space_group_name_H-M 'P 1'
_symmetry_Int_Tables_number 1
loop_
_symmetry_equiv_pos_as_xyz
'x,y,z'
loop_
_atom_site_label
_atom_site_type_symbol
_atom_site_fract_x
_atom_site_fract_y
_atom_site_fract_z
Na1 Na 0.0000 0.0000 0.0000
Al1 Al 0.5000 0.5000 0.5000
Se1 Se 0.0000 0.5000 0.0000
Se2 Se 0.5000 0.0000 0.0000
Br1 Br 0.0000 0.0000 0.5000
# - Fermi-level density of states: 4.63 states/eV/f.u.


Most favorable first, least favorable last: P, Q


P | # NbAlBr2 GGA-PBE optimized geometry
data_NbAlBr2
_cell_length_a 7.1137
_cell_length_b 7.1137
_cell_length_c 7.1137
_cell_angle_alpha 98.46
_cell_angle_beta 98.46
_cell_angle_gamma 134.89
_symmetry_space_group_name_H-M 'P 1'
_symmetry_Int_Tables_number 1
loop_
_symmetry_equiv_pos_as_xyz
'x,y,z'
loop_
_atom_site_label
_atom_site_type_symbol
_atom_site_fract_x
_atom_site_fract_y
_atom_site_fract_z
Nb1 Nb 0.0000 0.0000 0.0000
Nb2 Nb 0.7500 0.2500 0.5000
Al1 Al 0.2500 0.7500 0.5000
Al2 Al 0.5000 0.5000 0.0000
Br1 Br 0.3750 0.0151 0.1401
Br2 Br 0.7651 0.6250 0.6401
Br3 Br 0.8750 0.2349 0.8599
Br4 Br 0.9849 0.1250 0.3599
# - Fermi-level density of states: 3.01 states/eV/f.u.


Q | # NbAlBr2 GGA-PBE optimized geometry
data_NbAlBr2
_cell_length_a 10.1120
_cell_length_b 10.1120
_cell_length_c 10.1120
_cell_angle_alpha 18.83
_cell_angle_beta 18.83
_cell_angle_gamma 18.83
_symmetry_space_group_name_H-M 'P 1'
_symmetry_Int_Tables_number 1
loop_
_symmetry_equiv_pos_as_xyz
'x,y,z'
loop_
_atom_site_label
_atom_site_type_symbol
_atom_site_fract_x
_atom_site_fract_y
_atom_site_fract_z
Nb1 Nb 0.0000 0.0000 0.0000
Al1 Al 0.5000 0.5000 0.5000
Br1 Br 0.3973 0.3973 0.3973
Br2 Br 0.6027 0.6027 0.6027
# - Fermi-level density of states: 1.66 states/eV/f.u.


Most favorable first, least favorable last: Q, P


P | # NbAl2Br GGA-PBE optimized geometry
data_NbAl2Br
_cell_length_a 4.7904
_cell_length_b 4.7904
_cell_length_c 4.7904
_cell_angle_alpha 60.00
_cell_angle_beta 60.00
_cell_angle_gamma 60.00
_symmetry_space_group_name_H-M 'P 1'
_symmetry_Int_Tables_number 1
loop_
_symmetry_equiv_pos_as_xyz
'x,y,z'
loop_
_atom_site_label
_atom_site_type_symbol
_atom_site_fract_x
_atom_site_fract_y
_atom_site_fract_z
Nb1 Nb 0.0000 0.0000 0.0000
Al1 Al 0.2500 0.2500 0.2500
Al2 Al 0.7500 0.7500 0.7500
Br1 Br 0.5000 0.5000 0.5000
# - Fermi-level density of states: 1.16 states/eV/f.u.


Q | # NbAl2Br GGA-PBE optimized geometry
data_NbAl2Br
_cell_length_a 6.0360
_cell_length_b 6.0360
_cell_length_c 6.0360
_cell_angle_alpha 102.58
_cell_angle_beta 102.58
_cell_angle_gamma 124.37
_symmetry_space_group_name_H-M 'P 1'
_symmetry_Int_Tables_number 1
loop_
_symmetry_equiv_pos_as_xyz
'x,y,z'
loop_
_atom_site_label
_atom_site_type_symbol
_atom_site_fract_x
_atom_site_fract_y
_atom_site_fract_z
Nb1 Nb 0.0000 0.0000 0.0000
Nb2 Nb 0.7500 0.2500 0.5000
Al1 Al 0.1183 0.6250 0.9933
Al2 Al 0.3750 0.3683 0.4933
Al3 Al 0.6317 0.1250 0.0067
Al4 Al 0.8750 0.8817 0.5067
Br1 Br 0.2500 0.7500 0.5000
Br2 Br 0.5000 0.5000 0.0000
# - Fermi-level density of states: 2.81 states/eV/f.u.


Most favorable first, least favorable last: Q, P


P | # NbAlBr3 GGA-PBE optimized geometry
data_NbAlBr3
_cell_length_a 5.3923
_cell_length_b 5.3923
_cell_length_c 5.3923
_cell_angle_alpha 90.00
_cell_angle_beta 90.00
_cell_angle_gamma 90.00
_symmetry_space_group_name_H-M 'P 1'
_symmetry_Int_Tables_number 1
loop_
_symmetry_equiv_pos_as_xyz
'x,y,z'
loop_
_atom_site_label
_atom_site_type_symbol
_atom_site_fract_x
_atom_site_fract_y
_atom_site_fract_z
Nb1 Nb 0.0000 0.0000 0.0000
Al1 Al 0.5000 0.5000 0.5000
Br1 Br 0.0000 0.0000 0.5000
Br2 Br 0.0000 0.5000 0.0000
Br3 Br 0.5000 0.0000 0.0000
# - Fermi-level density of states: 2.14 states/eV/f.u.


Q | # NbAlBr3 GGA-PBE optimized geometry
data_NbAlBr3
_cell_length_a 5.1840
_cell_length_b 5.1840
_cell_length_c 5.1840
_cell_angle_alpha 90.00
_cell_angle_beta 90.00
_cell_angle_gamma 90.00
_symmetry_space_group_name_H-M 'P 1'
_symmetry_Int_Tables_number 1
loop_
_symmetry_equiv_pos_as_xyz
'x,y,z'
loop_
_atom_site_label
_atom_site_type_symbol
_atom_site_fract_x
_atom_site_fract_y
_atom_site_fract_z
Nb1 Nb 0.0000 0.0000 0.0000
Al1 Al 0.5000 0.5000 0.5000
Br1 Br 0.0000 0.5000 0.5000
Br2 Br 0.5000 0.0000 0.5000
Br3 Br 0.5000 0.5000 0.0000
# - Fermi-level density of states: 6.77 states/eV/f.u.


Most favorable first, least favorable last: P, Q


P | # NbAlSe2Br GGA-PBE optimized geometry
data_NbAlSe2Br
_cell_length_a 5.0776
_cell_length_b 5.0776
_cell_length_c 5.2573
_cell_angle_alpha 90.00
_cell_angle_beta 90.00
_cell_angle_gamma 90.00
_symmetry_space_group_name_H-M 'P 1'
_symmetry_Int_Tables_number 1
loop_
_symmetry_equiv_pos_as_xyz
'x,y,z'
loop_
_atom_site_label
_atom_site_type_symbol
_atom_site_fract_x
_atom_site_fract_y
_atom_site_fract_z
Nb1 Nb 0.0000 0.0000 0.0000
Al1 Al 0.5000 0.5000 0.5000
Se1 Se 0.0000 0.5000 0.0000
Se2 Se 0.5000 0.0000 0.0000
Br1 Br 0.0000 0.0000 0.5000
# - Fermi-level density of states: 2.87 states/eV/f.u.


Q | # NbAlSe2Br GGA-PBE optimized geometry
data_NbAlSe2Br
_cell_length_a 4.9287
_cell_length_b 4.9287
_cell_length_c 4.8243
_cell_angle_alpha 90.00
_cell_angle_beta 90.00
_cell_angle_gamma 90.00
_symmetry_space_group_name_H-M 'P 1'
_symmetry_Int_Tables_number 1
loop_
_symmetry_equiv_pos_as_xyz
'x,y,z'
loop_
_atom_site_label
_atom_site_type_symbol
_atom_site_fract_x
_atom_site_fract_y
_atom_site_fract_z
Nb1 Nb 0.0000 0.0000 0.0000
Al1 Al 0.5000 0.5000 0.5000
Se1 Se 0.0000 0.5000 0.5000
Se2 Se 0.5000 0.0000 0.5000
Br1 Br 0.5000 0.5000 0.0000
# - Fermi-level density of states: 3.93 states/eV/f.u.


Most favorable first, least favorable last: P, Q


P | # Nd2AlBr GGA-PBE optimized geometry
data_Nd2AlBr
_cell_length_a 9.1850
_cell_length_b 9.1850
_cell_length_c 9.1850
_cell_angle_alpha 24.04
_cell_angle_beta 24.04
_cell_angle_gamma 24.04
_symmetry_space_group_name_H-M 'P 1'
_symmetry_Int_Tables_number 1
loop_
_symmetry_equiv_pos_as_xyz
'x,y,z'
loop_
_atom_site_label
_atom_site_type_symbol
_atom_site_fract_x
_atom_site_fract_y
_atom_site_fract_z
Nd1 Nd 0.0000 0.0000 0.0000
Nd2 Nd 0.1739 0.1739 0.1739
Al1 Al 0.5870 0.5870 0.5870
Br1 Br 0.4194 0.4194 0.4194
# - Fermi-level density of states: 1.60 states/eV/f.u.


Q | # Nd2AlBr GGA-PBE optimized geometry
data_Nd2AlBr
_cell_length_a 3.5372
_cell_length_b 3.5372
_cell_length_c 8.5505
_cell_angle_alpha 90.00
_cell_angle_beta 90.00
_cell_angle_gamma 90.00
_symmetry_space_group_name_H-M 'P 1'
_symmetry_Int_Tables_number 1
loop_
_symmetry_equiv_pos_as_xyz
'x,y,z'
loop_
_atom_site_label
_atom_site_type_symbol
_atom_site_fract_x
_atom_site_fract_y
_atom_site_fract_z
Nd1 Nd 0.0000 0.0000 0.2301
Nd2 Nd 0.0000 0.0000 0.7699
Al1 Al 0.5000 0.5000 0.0000
Br1 Br 0.5000 0.5000 0.5000
# - Fermi-level density of states: 2.40 states/eV/f.u.


R | # Nd2AlBr GGA-PBE optimized geometry
data_Nd2AlBr
_cell_length_a 9.0042
_cell_length_b 9.0042
_cell_length_c 9.0042
_cell_angle_alpha 25.01
_cell_angle_beta 25.01
_cell_angle_gamma 25.01
_symmetry_space_group_name_H-M 'P 1'
_symmetry_Int_Tables_number 1
loop_
_symmetry_equiv_pos_as_xyz
'x,y,z'
loop_
_atom_site_label
_atom_site_type_symbol
_atom_site_fract_x
_atom_site_fract_y
_atom_site_fract_z
Nd1 Nd 0.2453 0.2453 0.2453
Nd2 Nd 0.7547 0.7547 0.7547
Al1 Al 0.5000 0.5000 0.5000
Br1 Br 0.0000 0.0000 0.0000
# - Fermi-level density of states: 1.98 states/eV/f.u.


Most favorable first, least favorable last: Q, P, R